# 1
4
Lattice="-2.621 -0.567 -0.527 -0.643 -1.778 -1.973 -0.818 -7.984 5.569" Properties=species:S:1:pos:R:3 comment="ReAg2W, optimized geometry, DFT PBEsol" formation_energy_ev_per_fu=2.3 sg="R-3m (166)" de_polymorph_kj_per_mol_atoms=11.5 pbc="T T T"
Ag -3.061 -7.760 2.313
Ag -1.021 -2.569 0.756
W -2.041 -5.165 1.534
Re 0.000 0.000 0.000


# 2
40
Lattice="7.505 0.000 0.000 0.000 7.505 0.000 0.000 0.000 7.505" Properties=species:S:1:pos:R:3 comment="La7ScAl8O24, optimized geometry, DFT PBEsol" sg="Pm-3m (221)" total_energy_ev_per_cell=-335.455 pbc="T T T"
O 5.659 0.000 1.846
La 0.000 3.752 0.000
O 1.846 0.000 1.846
Sc 0.000 0.000 0.000
O 0.000 5.659 5.659
Al 1.861 5.644 1.861
O 1.870 3.752 5.635
Al 5.644 1.861 5.644
Al 5.644 5.644 1.861
O 0.000 5.659 1.846
O 5.635 5.635 3.752
O 1.870 3.752 1.870
O 3.752 5.635 1.870
O 5.635 1.870 3.752
O 5.659 1.846 0.000
O 1.846 0.000 5.659
Al 5.644 5.644 5.644
O 1.846 5.659 0.000
La 3.752 3.752 3.752
O 5.659 5.659 0.000
O 0.000 1.846 1.846
La 3.752 3.752 0.000
Al 1.861 1.861 5.644
O 5.659 0.000 5.659
O 3.752 1.870 5.635
O 5.635 3.752 1.870
La 3.752 0.000 0.000
O 1.846 1.846 0.000
Al 1.861 1.861 1.861
La 0.000 0.000 3.752
Al 5.644 1.861 1.861
O 3.752 5.635 5.635
Al 1.861 5.644 5.644
O 3.752 1.870 1.870
O 0.000 1.846 5.659
La 3.752 0.000 3.752
O 1.870 5.635 3.752
O 5.635 3.752 5.635
La 0.000 3.752 3.752
O 1.870 1.870 3.752


# 3
4
Lattice="-0.353 -1.678 2.183 -0.561 -2.111 -1.713 8.775 -2.146 -0.230" Properties=species:S:1:pos:R:3 comment="KOs2Rh, optimized geometry, DFT PBEsol" formation_energy_ev_per_fu=2.8 sg="P4mm (99)" de_polymorph_kj_per_mol_atoms=0.0 pbc="T T T"
Rh 3.924 -0.960 -0.103
K 6.070 -3.491 0.064
Os 1.720 -2.427 0.178
Os 0.535 -0.131 -0.014


# 4
4
Lattice="4.315 0.000 0.000 0.000 4.315 0.000 -2.158 -2.158 5.469" Properties=species:S:1:pos:R:3 comment="SrCoTe2, optimized geometry, DFT PBEsol" sg="I-4m2 (119)" total_energy_ev_per_cell=-19.542 pbc="T T T"
Te 2.158 0.000 1.085
Co 0.000 0.000 0.000
Sr 0.000 2.158 2.734
Te 2.158 0.000 4.384


Record order is preserved below.
Volume: 15.6, 10.6, 17.4, 25.5 Å³ per atom